Record 1
## K2AlRh (PBE-GGA)

Data for a geometry-optimized K2AlRh structure.

```
4
Lattice="6.095 -0.004 0.000 -3.678 4.859 0.000 0.303 0.608 3.399" Properties=species:S:1:pos:R:3 pbc="T T T"
K 0.000 0.000 0.000
K 1.208 2.428 0.000
Rh 3.199 0.302 1.699
Al -1.688 2.734 1.699
```

Properties
The space-group type is C2/m, No. 12. The calculated formation energy comes out at 2.327 eV per formula unit.

=====

Record 2
## CaIrF2 (PBE-GGA)

Data for a geometry-optimized CaIrF2 structure.

```
4
Lattice="4.023 -2.941 3.431 5.574 0.224 2.341 3.176 0.215 5.145" Properties=species:S:1:pos:R:3 pbc="T T T"
Ca 6.386 -1.251 5.459
Ir 0.000 0.000 0.000
F 11.217 -2.197 9.588
F 1.555 -0.305 1.330
```

Properties
The space-group type is R-3m, No. 166. As for the uncorrected formation energy: -1.615 eV per atom. As for the polymorph energy (0 for the lowest one): 0.0000 eV/atom.

=====

Record 3
## Sn5Se4Cl (PBE-GGA)

Data for a geometry-optimized Sn5Se4Cl structure.

```
10
Lattice="4.021 0.000 0.918 1.744 7.130 1.628 -0.120 -0.404 9.786" Properties=species:S:1:pos:R:3 pbc="T T T"
Sn 2.314 6.179 8.393
Sn 3.331 0.547 3.940
Sn 2.031 1.927 9.628
Sn 0.812 3.363 5.707
Sn 3.613 4.799 2.705
Se 2.700 1.158 6.703
Se 1.483 2.829 2.769
Se 4.162 3.897 9.563
Se 2.945 5.568 5.630
Cl 0.000 0.000 0.000
```

Properties
The space-group type is C2/m, No. 12. As for the uncorrected formation energy: -0.424 eV per atom.

=====

Number 1: calculated volume 100.61 Å³ per cell. Number 2: calculated volume 66.75 Å³ per cell. Number 3: calculated volume 283.35 Å³ per cell.